A relaxed structure of Er4Al2Hg. Source: Alexandria via LeMat-Bulk, functional PBE.

For the formation energy, the calculation gives -254 meV/atom. Its magnetization is 0.0 μB/f.u. The final energy comes out at -0.146 hartree per atom.

a = 5.089 Å, b = 5.089 Å, c = 8.735 Å
α = 73.06°, β = 73.06°, γ = 60.00°
Sites, in units of the cell vectors:
Al1 0.749 0.749 0.752
Er1 0.381 0.381 0.856
Er2 0.619 0.619 0.144
Al2 0.251 0.251 0.248
Hg1 0.000 0.000 0.000
Er3 0.871 0.871 0.387
Er4 0.129 0.129 0.613